Record 1
Entry from Alexandria: a relaxed structure of Ho7Mg2Ni2 (PBE).

Unit cell a=6.755 b=6.755 c=7.109 alpha=90.00 beta=90.00 gamma=109.48
Positions (direct):
Ho 0.000 0.000 0.000
Ho 0.000 0.500 0.243
Ho 0.000 0.500 0.757
Ho 0.500 0.000 0.243
Ho 0.500 0.000 0.757
Ho 0.500 0.500 0.232
Ho 0.500 0.500 0.768
Mg 0.175 0.175 0.500
Mg 0.825 0.825 0.500
Ni 0.294 0.706 0.000
Ni 0.706 0.294 0.000

Computed properties:
Fermi-level density of states, states/eV per cell: 12.08
Space-group type: Cmmm
Density, Mg/m³: 7.17
Calculated total energy, eV/atom: -4.300

---

Record 2
Entry from Alexandria: a relaxed structure of BaHf2Ag (PBE).

Unit cell a=5.100 b=5.100 c=5.100 alpha=60.00 beta=60.00 gamma=60.00
Positions (direct):
Ba 0.000 0.000 0.000
Hf 0.250 0.250 0.250
Hf 0.750 0.750 0.750
Ag 0.500 0.500 0.500

Computed properties:
Fermi-level density of states, states/eV per cell: 6.82
Space-group type: Fm-3m
Density, Mg/m³: 10.66
Calculated total energy, eV/atom: -5.403

---

Record 3
Entry from Alexandria: a relaxed structure of TlAs2Os (PBE).

Unit cell a=4.733 b=4.733 c=4.733 alpha=60.00 beta=60.00 gamma=60.00
Positions (direct):
Tl 0.000 0.000 0.000
As 0.500 0.500 0.500
As 0.750 0.750 0.750
Os 0.250 0.250 0.250

Computed properties:
Fermi-level density of states, states/eV per cell: 2.43
Space-group type: F-43m
Density, Mg/m³: 12.06
Calculated total energy, eV/atom: -4.800

---

no.,formation energy (eV/atom)
1,-0.05
2,0.77
3,0.92